VASP calculation (GGA-PBE) on Nd2Sm4Bi3N2 after structural relaxation.

Cell: 4.8034 4.8034 26.4808 Å, 90.00 90.00 90.00°
Space group I4/mmm (No. 139)
One atom of each set of equivalent atoms:
Nd 0.0000 0.0000 0.1914 (multiplicity 4)
Sm 0.0000 0.5000 0.0836 (multiplicity 8)
Bi 0.0000 0.0000 0.3208 (multiplicity 4)
Bi 0.0000 0.0000 0.5000 (multiplicity 2)
N 0.0000 0.0000 0.1030 (multiplicity 4)

Values from the calculation:
Formation energy without anion corrections ... -1.03 eV/atom